Run i
YBeHg after structural relaxation. Source: OQMD via LeMat-Bulk, functional PBE-GGA.

Cell lengths 4.487, 4.487, 4.487 Å; angles 60.00, 60.00, 60.00 degrees
Atoms (fractional coordinates):
Be 0.000 0.000 0.000
Hg 0.250 0.250 0.250
Y 0.750 0.750 0.750

space-group type = F-43m, No. 216

***

Run ii
YBeHg after structural relaxation. Source: OQMD via LeMat-Bulk, functional PBE-GGA.

Cell lengths 4.763, 4.763, 4.763 Å; angles 60.00, 60.00, 60.00 degrees
Atoms (fractional coordinates):
Be 0.500 0.500 0.500
Hg 0.000 0.000 0.000
Y 0.250 0.250 0.250

space-group type = F-43m, No. 216

***

Energies in meV per atom, measured from the most stable structure: run i 0; run ii 532.

***

Run i
HoBe after structural relaxation. Source: OQMD via LeMat-Bulk, functional PBE-GGA.

Cell lengths 3.994, 3.994, 3.994 Å; angles 60.00, 60.00, 60.00 degrees
Atoms (fractional coordinates):
Be 0.000 0.000 0.000
Ho 0.500 0.500 0.500

space-group type = Fm-3m, No. 225

***

Run ii
HoBe after structural relaxation. Source: OQMD via LeMat-Bulk, functional PBE-GGA.

Cell lengths 4.350, 4.350, 4.350 Å; angles 60.00, 60.00, 60.00 degrees
Atoms (fractional coordinates):
Be 0.000 0.000 0.000
Ho 0.250 0.250 0.250

space-group type = F-43m, No. 216

***

Run iii
HoBe after structural relaxation. Source: OQMD via LeMat-Bulk, functional PBE-GGA.

Cell lengths 3.416, 3.416, 4.282 Å; angles 90.00, 90.00, 120.00 degrees
Atoms (fractional coordinates):
Be 0.667 0.333 0.750
Ho 0.333 0.667 0.250

space-group type = P-6m2, No. 187

***

Energies in meV per atom, measured from the most stable structure: run i 0; run ii 740; run iii 42.

***

Run i
HoBeIn after structural relaxation. Source: OQMD via LeMat-Bulk, functional PBE-GGA.

Cell lengths 4.491, 4.491, 4.491 Å; angles 60.00, 60.00, 60.00 degrees
Atoms (fractional coordinates):
Be 0.000 0.000 0.000
Ho 0.250 0.250 0.250
In 0.750 0.750 0.750

space-group type = F-43m, No. 216

***

Run ii
HoBeIn after structural relaxation. Source: OQMD via LeMat-Bulk, functional PBE-GGA.

Cell lengths 4.661, 4.661, 4.661 Å; angles 60.00, 60.00, 60.00 degrees
Atoms (fractional coordinates):
Be 0.250 0.250 0.250
Ho 0.750 0.750 0.750
In 0.000 0.000 0.000

space-group type = F-43m, No. 216

***

Energies in meV per atom, measured from the most stable structure: run i 0; run ii 404.